Density functional theory data (GGA-PBE) for Co3Tc5 after structural relaxation.

Calculated values
total magnetization: 0.000 μB per atom
excess energy over the best structure of this formula in the dataset: 78 meV per atom
calculated volume: 13.2 Å³/atom
N(E_F): 1.02 states/eV/atom
symmetry: P6_3/mcm
energy of formation from the pure elements: 1.1 eV/f.u.

a b c (Å): 7.1693 7.1693 4.7352
angles (deg): 90.00 90.00 120.00
Last column: nearest neighbours and their distance in Å.
Fractional coordinates of all 16 atoms:
1 Co 0.0000 0.4121 0.2500  9 Tc 2.47-2.74, 2 Co 2.68
2 Co 0.0000 0.5879 0.7500  9 Tc 2.47-2.74, 2 Co 2.68
3 Co 0.4121 0.0000 0.2500  9 Tc 2.47-2.74, 2 Co 2.68
4 Co 0.4121 0.4121 0.7500  9 Tc 2.47-2.74, 2 Co 2.68
5 Co 0.5879 0.0000 0.7500  9 Tc 2.47-2.74, 2 Co 2.68
6 Co 0.5879 0.5879 0.2500  9 Tc 2.47-2.74, 2 Co 2.68
7 Tc 0.0000 0.2211 0.7500  5 Co 2.56-2.74, 6 Tc 2.75-2.85
8 Tc 0.0000 0.7789 0.2500  5 Co 2.56-2.74, 6 Tc 2.75-2.85
9 Tc 0.2211 0.0000 0.7500  5 Co 2.56-2.74, 6 Tc 2.75-2.85
10 Tc 0.2211 0.2211 0.2500  5 Co 2.56-2.74, 6 Tc 2.75-2.85
11 Tc 0.3333 0.6667 0.0000  2 Tc 2.37, 6 Co 2.47
12 Tc 0.3333 0.6667 0.5000  2 Tc 2.37, 6 Co 2.47
13 Tc 0.6667 0.3333 0.0000  2 Tc 2.37, 6 Co 2.47
14 Tc 0.6667 0.3333 0.5000  2 Tc 2.37, 6 Co 2.47
15 Tc 0.7789 0.0000 0.2500  5 Co 2.56-2.74, 6 Tc 2.75-2.85
16 Tc 0.7789 0.7789 0.7500  5 Co 2.56-2.74, 6 Tc 2.75-2.85